Entry 1:
Tl6AuS3, optimized geometry, DFT GGA-PBE; space group = No. 11; E_tot = -3.20 eV/atom
1.0
-3.5235 -2.0837 0.0378
4.8145 -8.2404 -5.4729
1.5487 -2.3677 13.8349
Tl S Au
12 6 2
Cartesian
-0.5915 -5.0561 -1.3412
1.9806 -5.3173 2.3433
1.2187 -3.8461 12.4190
0.2971 -2.4659 2.5955
3.4311 -7.6358 9.7410
0.8591 -7.3746 6.0566
1.4275 -4.2665 8.7064
1.6209 -8.8458 -4.0191
-1.2220 -3.8584 5.8976
2.5426 -10.2260 5.8043
1.4121 -8.4253 -0.3065
4.0617 -8.8335 2.5022
0.6774 -7.0126 9.0762
1.2415 -8.0839 2.6088
-1.7710 -3.0241 0.7114
1.5982 -4.6080 5.7911
4.6107 -9.6677 7.6885
2.1623 -5.6793 -0.6763
4.2751 -9.2481 -0.4598
-1.4354 -3.4438 8.8597

***

Entry 2:
CaLaAg4, optimized geometry, DFT GGA-PBE; space group = No. 216; E_tot = -3.27 eV/atom; ΔH_f (0 K) = -219 meV/atom
1.0
-3.3713 4.0834 -2.4130
0.4017 1.1110 -5.6980
-4.3253 -1.5379 -3.5762
Ca La Ag
1 1 4
Cartesian
-1.8237 0.9141 -2.9218
0.0000 0.0000 0.0000
-4.5530 2.2822 -7.2945
-2.8789 0.2545 -6.0963
-4.7525 1.7305 -4.4650
-2.4053 3.0458 -5.5186